[1]
Na2Er2BiO6: relaxed, PBE.

```
Na2Er2BiO6
1.0
2.956 -5.144 0.000
2.956 5.144 0.000
-1.861 0.000 5.672
Na Er Bi O
2 2 1 6
Direct
0.167 0.833 0.000
0.833 0.167 0.000
0.335 0.665 0.500
0.665 0.335 0.500
0.000 0.000 0.500
0.053 0.400 0.702
0.261 0.261 0.295
0.400 0.053 0.702
0.600 0.947 0.298
0.739 0.739 0.705
0.947 0.600 0.298
```

Energy relative to the elements, uncorrected, meV/atom: -2288
Space group: C2/m
Total DFT energy (no corrections), eV for the cell shown: -70.56

[2]
Na4Er3BiO8: relaxed, PBE.

```
Na4Er3BiO8
1.0
3.429 1.980 5.601
-3.429 1.980 5.601
0.000 -3.960 5.601
Na Er Bi O
4 3 1 8
Direct
0.000 0.000 0.000
0.000 0.500 0.500
0.500 0.000 0.500
0.500 0.500 0.000
0.000 0.000 0.500
0.000 0.500 0.000
0.500 0.000 0.000
0.500 0.500 0.500
0.224 0.746 0.746
0.236 0.236 0.236
0.254 0.254 0.776
0.254 0.776 0.254
0.746 0.224 0.746
0.746 0.746 0.224
0.764 0.764 0.764
0.776 0.254 0.254
```

Energy relative to the elements, uncorrected, meV/atom: -2462
Space group: R-3m
Total DFT energy (no corrections), eV for the cell shown: -101.91

[3]
Na2ErPaBi4: relaxed, PBE.

```
Na2ErPaBi4
1.0
7.392 0.000 0.000
0.000 5.104 0.000
-3.554 0.000 6.880
Na Er Pa Bi
2 1 1 4
Direct
0.000 0.000 0.000
0.500 0.500 0.000
0.000 0.000 0.500
0.500 0.500 0.500
0.014 0.500 0.270
0.488 0.000 0.735
0.512 0.000 0.265
0.986 0.500 0.730
```

Space group: P2/m
DFT formation energy, eV per atom: -0.26
Total DFT energy (no corrections), eV for the cell shown: -34.28

[4]
NaErBiPd: relaxed, PBE.

```
NaErBiPd
1.0
7.247 0.000 0.000
0.000 7.247 0.000
0.000 0.000 7.247
Na Er Bi Pd
4 4 4 4
Direct
0.000 0.000 0.000
0.000 0.500 0.500
0.500 0.000 0.500
0.500 0.500 0.000
0.000 0.000 0.500
0.000 0.500 0.000
0.500 0.000 0.000
0.500 0.500 0.500
0.250 0.250 0.750
0.250 0.750 0.250
0.750 0.250 0.250
0.750 0.750 0.750
0.250 0.250 0.250
0.250 0.750 0.750
0.750 0.250 0.750
0.750 0.750 0.250
```

Space group: F-43m
DFT formation energy, eV per atom: -0.47
Total DFT energy (no corrections), eV for the cell shown: -67.41

[5]
Na4Er3BiS8: relaxed, PBE.

```
Na4Er3BiS8
1.0
3.987 2.302 6.694
-3.987 2.302 6.694
0.000 -4.604 6.694
Na Er Bi S
4 3 1 8
Direct
0.000 0.000 0.000
0.000 0.500 0.500
0.500 0.000 0.500
0.500 0.500 0.000
0.000 0.000 0.500
0.000 0.500 0.000
0.500 0.000 0.000
0.500 0.500 0.500
0.234 0.747 0.747
0.241 0.241 0.241
0.253 0.253 0.766
0.253 0.766 0.253
0.747 0.234 0.747
0.747 0.747 0.234
0.759 0.759 0.759
0.766 0.253 0.253
```

Energy relative to the elements, uncorrected, meV/atom: -1576
Space group: R-3m
Total DFT energy (no corrections), eV for the cell shown: -81.08

[6]
Na3Er2BiS6: relaxed, PBE.

```
Na3Er2BiS6
1.0
3.462 -5.998 0.000
3.462 5.998 0.000
-2.313 0.000 6.701
Na Er Bi S
3 2 1 6
Direct
0.000 0.000 0.000
0.337 0.663 0.000
0.663 0.337 0.000
0.167 0.833 0.500
0.833 0.167 0.500
0.500 0.500 0.500
0.080 0.424 0.272
0.233 0.233 0.728
0.424 0.080 0.272
0.576 0.920 0.728
0.767 0.767 0.272
0.920 0.576 0.728
```

Energy relative to the elements, uncorrected, meV/atom: -1486
Space group: C2/m
Total DFT energy (no corrections), eV for the cell shown: -59.56

[7]
Na3ErBi2S6: relaxed, PBE.

```
Na3ErBi2S6
1.0
3.498 -6.062 0.000
3.498 6.062 0.000
-2.337 0.000 6.739
Na Er Bi S
3 1 2 6
Direct
0.000 0.000 0.000
0.328 0.672 0.000
0.672 0.328 0.000
0.500 0.500 0.500
0.166 0.834 0.500
0.834 0.166 0.500
0.099 0.423 0.268
0.254 0.254 0.732
0.423 0.099 0.268
0.577 0.901 0.732
0.746 0.746 0.268
0.901 0.577 0.732
```

Energy relative to the elements, uncorrected, meV/atom: -1117
Space group: C2/m
Total DFT energy (no corrections), eV for the cell shown: -54.45

[8]
Na4Er3BiSe8: relaxed, PBE.

```
Na4Er3BiSe8
1.0
4.149 2.396 7.024
-4.149 2.396 7.024
0.000 -4.791 7.024
Na Er Bi Se
4 3 1 8
Direct
0.000 0.000 0.000
0.000 0.500 0.500
0.500 0.000 0.500
0.500 0.500 0.000
0.000 0.000 0.500
0.000 0.500 0.000
0.500 0.000 0.000
0.500 0.500 0.500
0.236 0.747 0.747
0.242 0.242 0.242
0.253 0.253 0.764
0.253 0.764 0.253
0.747 0.236 0.747
0.747 0.747 0.236
0.758 0.758 0.758
0.764 0.253 0.253
```

Energy relative to the elements, uncorrected, meV/atom: -1460
Space group: R-3m
Total DFT energy (no corrections), eV for the cell shown: -74.08

[9]
Na3ErBi2Se6: relaxed, PBE.

```
Na3ErBi2Se6
1.0
3.638 -6.305 0.000
3.638 6.305 0.000
-2.430 0.000 7.062
Na Er Bi Se
3 1 2 6
Direct
0.000 0.000 0.000
0.327 0.673 0.000
0.673 0.327 0.000
0.500 0.500 0.500
0.166 0.834 0.500
0.834 0.166 0.500
0.098 0.422 0.267
0.254 0.254 0.735
0.422 0.098 0.267
0.578 0.902 0.733
0.746 0.746 0.265
0.902 0.578 0.733
```

Energy relative to the elements, uncorrected, meV/atom: -1060
Space group: C2/m
Total DFT energy (no corrections), eV for the cell shown: -49.91

[10]
NaErBi2Se4: relaxed, PBE.

```
NaErBi2Se4
1.0
7.561 0.000 0.000
0.000 4.077 0.000
-2.442 0.000 7.631
Na Er Bi Se
1 1 2 4
Direct
0.000 0.000 0.000
0.500 0.500 0.500
0.000 0.000 0.500
0.500 0.500 0.000
0.122 0.500 0.293
0.399 0.000 0.713
0.601 0.000 0.287
0.878 0.500 0.707
```

Energy relative to the elements, uncorrected, meV/atom: -846
Space group: P2/m
Total DFT energy (no corrections), eV for the cell shown: -34.35

[11]
Na2ErBiSe4: relaxed, PBE.

```
Na2ErBiSe4
1.0
7.265 0.000 0.000
0.000 4.171 0.000
-2.408 0.000 7.046
Na Er Bi Se
2 1 1 4
Direct
0.000 0.000 0.000
0.500 0.500 0.000
0.000 0.500 0.500
0.500 0.000 0.500
0.235 0.000 0.729
0.246 0.500 0.265
0.754 0.500 0.735
0.765 0.000 0.271
```

Energy relative to the elements, uncorrected, meV/atom: -1219
Space group: P2/m
Total DFT energy (no corrections), eV for the cell shown: -34.77

[12]
NaErSnBi: relaxed, PBE.

```
NaErSnBi
1.0
7.650 0.000 0.000
0.000 7.650 0.000
0.000 0.000 7.650
Na Er Sn Bi
4 4 4 4
Direct
0.000 0.000 0.000
0.000 0.500 0.500
0.500 0.000 0.500
0.500 0.500 0.000
0.000 0.000 0.500
0.000 0.500 0.000
0.500 0.000 0.000
0.500 0.500 0.500
0.250 0.250 0.750
0.250 0.750 0.250
0.750 0.250 0.250
0.750 0.750 0.750
0.250 0.250 0.250
0.250 0.750 0.750
0.750 0.250 0.750
0.750 0.750 0.250
```

Space group: F-43m
DFT formation energy, eV per atom: -0.32
Total DFT energy (no corrections), eV for the cell shown: -60.12